VASP calculation (meta-GGA SCAN) on a PBEsol-optimized structure of SrZn4In.

Results
D(E_F)	8.31	states/eV per cell
energy relative to the elements	-0.096	eV per atom
calculated density	6.6	g cm⁻³

CIF file:
```
data_SrZn4In
_chemical_formula_sum 'Sr4 Zn16 In4'
_cell_length_a 7.770
_cell_length_b 7.770
_cell_length_c 7.770
_cell_angle_alpha 90.00
_cell_angle_beta 90.00
_cell_angle_gamma 90.00
_symmetry_space_group_name_H-M 'F -4 3 m'
_symmetry_Int_Tables_number 216
_symmetry_space_group_name_Hall 'F -4 2 3'
loop_
_atom_site_label
_atom_site_fract_x
_atom_site_fract_y
_atom_site_fract_z
Sr1 0.000 0.000 0.000
Zn1 0.125 0.125 0.375
In1 0.250 0.250 0.750
```